Entry from Alexandria via LeMat-Bulk: crystalline Li2FeH at its relaxed geometry (GGA-PBE).

The structure belongs to space group Fm-3m (No. 225); the cell edges are 5.8744, 5.8744 and 5.8744 Å and the angles 90.00°, 90.00° and 90.00°. The asymmetric unit holds Li at (0.2500, 0.2500, 0.2500), Fe at (0.0000, 0.0000, 0.0000) and H at (0.0000, 0.0000, 0.5000).

For the total energy, the calculation gives -49.900 eV per cell. For the density of states at the Fermi level, the calculation gives 0.718 states/eV/atom. For the energy above the most stable polymorph in this dataset, the calculation gives 0.390 eV/atom.

Entry from Alexandria via LeMat-Bulk: crystalline K2ReMo at its relaxed geometry (GGA-PBE).

The structure belongs to space group P4mm (No. 99); the cell edges are 3.2674, 3.2674 and 10.9982 Å and the angles 90.00°, 90.00° and 90.00°. The asymmetric unit holds K at (0.0000, 0.0000, 0.0000), K at (0.5000, 0.5000, 0.3934), Re at (0.5000, 0.5000, 0.7561) and Mo at (0.0000, 0.0000, 0.6541).

For the total energy, the calculation gives -22.068 eV per cell. For the density of states at the Fermi level, the calculation gives 1.213 states/eV/atom. For the energy above the most stable polymorph in this dataset, the calculation gives 0.000 eV/atom. For the formation energy, the calculation gives 3.41 eV per formula unit.

Entry from Alexandria via LeMat-Bulk: crystalline CdAs2SeO at its relaxed geometry (GGA-PBE).

The structure belongs to space group P4/mmm (No. 123); the cell edges are 5.1805, 5.1805 and 5.0731 Å and the angles 90.00°, 90.00° and 90.00°. The asymmetric unit holds Cd at (0.0000, 0.0000, 0.0000), As at (0.0000, 0.5000, 0.0000), Se at (0.0000, 0.0000, 0.5000) and O at (0.5000, 0.5000, 0.5000).

The formation energy (no corrections) comes out at 1434 meV/atom. For the total energy, the calculation gives -11.489 eV per cell. For the density of states at the Fermi level, the calculation gives 2.415 states/eV/atom. For the energy above the most stable polymorph in this dataset, the calculation gives 1.159 eV/atom.

Entry from Alexandria via LeMat-Bulk: crystalline Co2MoH at its relaxed geometry (GGA-PBE).

The structure belongs to space group R-3m (No. 166, hexagonal axes); the cell edges are 2.6630, 2.6630 and 19.3372 Å and the angles 90.00°, 90.00° and 120.00°. The asymmetric unit holds Co at (0.0000, 0.0000, 0.2206), Mo at (0.0000, 0.0000, 0.0000) and H at (0.0000, 0.0000, 0.5000).

For the total energy, the calculation gives -84.030 eV per cell. For the density of states at the Fermi level, the calculation gives 0.852 states/eV/atom. For the energy above the most stable polymorph in this dataset, the calculation gives 0.000 eV/atom.

> What is the density of states at the Fermi level in the second record?

1.213 states/eV/atom

> Which of these has the highest density of states at the Fermi level?

CdAs2SeO